# 1
Entry from the Alexandria database: a relaxed structure of CaAcPb (GGA-PBE).

a = 3.865 Å, b = 3.865 Å, c = 14.979 Å
α = 90.00°, β = 90.00°, γ = 90.00°
Positions (direct):
Ca  0.000  0.000  0.000
Ca  0.500  0.500  0.500
Ac  0.000  0.000  0.709
Ac  0.500  0.500  0.209
Pb  0.000  0.000  0.364
Pb  0.500  0.500  0.864

E above lowest polymorph = 0.47 eV per formula unit
density of states at the Fermi level = 4.90 states/eV per cell
energy of formation from the pure elements = -318.9 meV/atom

=====

# 2
Entry from the Alexandria database: a relaxed structure of CaAc4Pb4 (GGA-PBE).

a = 10.149 Å, b = 10.149 Å, c = 6.929 Å
α = 90.00°, β = 90.00°, γ = 90.00°
Positions (direct):
Ca  0.250  0.250  0.250
Ca  0.750  0.750  0.750
Ac  0.052  0.669  0.116
Ac  0.169  0.948  0.616
Ac  0.331  0.552  0.616
Ac  0.448  0.831  0.116
Ac  0.552  0.169  0.884
Ac  0.669  0.448  0.384
Ac  0.831  0.052  0.384
Ac  0.948  0.331  0.884
Pb  0.009  0.638  0.606
Pb  0.138  0.991  0.106
Pb  0.362  0.509  0.106
Pb  0.491  0.862  0.606
Pb  0.509  0.138  0.394
Pb  0.638  0.491  0.894
Pb  0.862  0.009  0.894
Pb  0.991  0.362  0.394

density of states at the Fermi level = 17.13 states/eV per cell
energy of formation from the pure elements = -366.0 meV/atom

=====

# 3
Entry from the Alexandria database: a relaxed structure of CaAc3Pb4 (GGA-PBE).

a = 4.674 Å, b = 5.365 Å, c = 11.006 Å
α = 90.00°, β = 90.00°, γ = 90.00°
Positions (direct):
Ca  0.000  0.000  0.000
Ac  0.000  0.000  0.500
Ac  0.000  0.500  0.241
Ac  0.000  0.500  0.759
Pb  0.500  0.000  0.239
Pb  0.500  0.000  0.761
Pb  0.500  0.500  0.000
Pb  0.500  0.500  0.500

E above lowest polymorph = 0.00 eV per formula unit
density of states at the Fermi level = 6.09 states/eV per cell
energy of formation from the pure elements = -494.7 meV/atom

=====

# 4
Entry from the Alexandria database: a relaxed structure of CaAc2Pd4Pb3 (GGA-PBE).

a = 4.773 Å, b = 4.773 Å, c = 11.453 Å
α = 90.00°, β = 90.00°, γ = 90.00°
Positions (direct):
Ca  0.000  0.000  0.000
Ac  0.000  0.500  0.723
Ac  0.500  0.000  0.277
Pd  0.000  0.000  0.500
Pd  0.000  0.500  0.141
Pd  0.500  0.000  0.859
Pd  0.500  0.500  0.500
Pb  0.000  0.500  0.377
Pb  0.500  0.000  0.623
Pb  0.500  0.500  0.000

density of states at the Fermi level = 4.18 states/eV per cell
energy of formation from the pure elements = -603.2 meV/atom

=====

# 5
Entry from the Alexandria database: a relaxed structure of CaAcPdPb (GGA-PBE).

a = 4.685 Å, b = 4.081 Å, c = 12.647 Å
α = 90.00°, β = 90.00°, γ = 90.00°
Positions (direct):
Ca  0.000  0.000  0.000
Ca  0.000  0.500  0.500
Ac  0.500  0.000  0.712
Ac  0.500  0.500  0.212
Pd  0.000  0.000  0.273
Pd  0.000  0.500  0.773
Pb  0.500  0.000  0.433
Pb  0.500  0.500  0.933

E above lowest polymorph = 0.00 eV per formula unit
density of states at the Fermi level = 5.80 states/eV per cell
energy of formation from the pure elements = -595.9 meV/atom

=====

# 6
Entry from the Alexandria database: a relaxed structure of CaAcPd5Pb2 (GGA-PBE).

a = 4.637 Å, b = 4.637 Å, c = 9.621 Å
α = 90.00°, β = 90.00°, γ = 90.00°
Positions (direct):
Ca  0.000  0.000  0.000
Ac  0.000  0.000  0.500
Pd  0.000  0.500  0.296
Pd  0.000  0.500  0.704
Pd  0.500  0.000  0.296
Pd  0.500  0.000  0.704
Pd  0.500  0.500  0.500
Pb  0.500  0.500  0.154
Pb  0.500  0.500  0.846

density of states at the Fermi level = 5.37 states/eV per cell
energy of formation from the pure elements = -489.4 meV/atom

=====

Question: What is the density of states at the Fermi level in the fifth record?
Answer: 5.80 states/eV per cell

=====

Question: Which value of energy of formation from the pure elements does entry 4 give?
Answer: -603.2 meV/atom

=====

Question: Among the records above, which one has the lowest density of states at the Fermi level?
Answer: CaAc2Pd4Pb3